{
  "formula": "Lu4AlPbN2",
  "functional": "GGA-PBE",
  "state": "optimized geometry",
  "lattice": [[3.4266, 0.0000, 0.0000], [-1.7133, 2.9675, 0.0000], [0.0000, 0.0000, 15.0005]],
  "species": ["Lu", "Lu", "Lu", "Lu", "Al", "Pb", "N", "N"],
  "frac_coords": [[0.0000, 0.0000, 0.1588], [0.0000, 0.0000, 0.8412], [0.3333, 0.6667, 0.3299], [0.3333, 0.6667, 0.6701], [0.3333, 0.6667, 0.0000], [0.0000, 0.0000, 0.5000], [0.6667, 0.3333, 0.2487], [0.6667, 0.3333, 0.7513]],
  "e_tot_ev_per_atom": -6.334
}


{
  "formula": "Lu4AlSbN2",
  "functional": "GGA-PBE",
  "state": "optimized geometry",
  "lattice": [[3.4363, 0.0000, 0.0000], [-1.7182, 2.9759, 0.0000], [0.0000, 0.0000, 14.6305]],
  "species": ["Lu", "Lu", "Lu", "Lu", "Al", "Sb", "N", "N"],
  "frac_coords": [[0.0000, 0.0000, 0.1612], [0.0000, 0.0000, 0.8388], [0.3333, 0.6667, 0.3357], [0.3333, 0.6667, 0.6643], [0.3333, 0.6667, 0.0000], [0.0000, 0.0000, 0.5000], [0.6667, 0.3333, 0.2519], [0.6667, 0.3333, 0.7481]],
  "e_tot_ev_per_atom": -6.439
}


{
  "formula": "Lu4Sc2Al3N3",
  "functional": "GGA-PBE",
  "state": "optimized geometry",
  "lattice": [[4.9980, -2.8867, 0.0000], [4.9980, 2.8867, 0.0000], [-3.3498, 0.0000, 14.6554]],
  "species": ["Lu", "Lu", "Lu", "Lu", "Lu", "Lu", "Lu", "Lu", "Sc", "Sc", "Sc", "Sc", "Al", "Al", "Al", "Al", "Al", "Al", "N", "N", "N", "N", "N", "N"],
  "frac_coords": [[0.0322, 0.1962, 0.0919], [0.1351, 0.3022, 0.4081], [0.1962, 0.0322, 0.5919], [0.3022, 0.1351, 0.9081], [0.6978, 0.8649, 0.0919], [0.8038, 0.9678, 0.4081], [0.8649, 0.6978, 0.5919], [0.9678, 0.8038, 0.9081], [0.3593, 0.5264, 0.0797], [0.4736, 0.6407, 0.4203], [0.5264, 0.3593, 0.5797], [0.6407, 0.4736, 0.9203], [0.1351, 0.8649, 0.2500], [0.2993, 0.4180, 0.7500], [0.4180, 0.2993, 0.2500], [0.5820, 0.7007, 0.7500], [0.7007, 0.5820, 0.2500], [0.8649, 0.1351, 0.7500], [0.0000, 0.5000, 0.0000], [0.1664, 0.6667, 0.5000], [0.3333, 0.8336, 0.0000], [0.5000, 0.0000, 0.5000], [0.6667, 0.1664, 0.0000], [0.8336, 0.3333, 0.5000]],
  "e_tot_ev_per_atom": -6.637
}


{
  "formula": "Lu4AlSiN2",
  "functional": "GGA-PBE",
  "state": "optimized geometry",
  "lattice": [[3.3845, 0.0000, 0.0000], [-1.6923, 2.9311, 0.0000], [0.0000, 0.0000, 14.4020]],
  "species": ["Lu", "Lu", "Lu", "Lu", "Al", "Si", "N", "N"],
  "frac_coords": [[0.0000, 0.0000, 0.1505], [0.0000, 0.0000, 0.8495], [0.6667, 0.3333, 0.3323], [0.6667, 0.3333, 0.6677], [0.0000, 0.0000, 0.5000], [0.6667, 0.3333, 0.0000], [0.3333, 0.6667, 0.2415], [0.3333, 0.6667, 0.7585]],
  "e_tot_ev_per_atom": -6.559
}


{
  "formula": "Lu2Ta4Al3N3",
  "functional": "GGA-PBE",
  "state": "optimized geometry",
  "lattice": [[4.7566, -2.7531, 0.0000], [4.7566, 2.7531, 0.0000], [-3.2224, 0.0000, 13.8489]],
  "species": ["Lu", "Lu", "Lu", "Lu", "Ta", "Ta", "Ta", "Ta", "Ta", "Ta", "Ta", "Ta", "Al", "Al", "Al", "Al", "Al", "Al", "N", "N", "N", "N", "N", "N"],
  "frac_coords": [[0.0384, 0.8757, 0.6116], [0.1243, 0.9616, 0.8884], [0.8757, 0.0384, 0.1116], [0.9616, 0.1243, 0.3884], [0.1939, 0.3572, 0.0808], [0.3024, 0.4764, 0.4192], [0.3572, 0.1939, 0.5808], [0.4764, 0.3024, 0.9192], [0.5236, 0.6976, 0.0808], [0.6428, 0.8061, 0.4192], [0.6976, 0.5236, 0.5808], [0.8061, 0.6428, 0.9192], [0.0853, 0.3971, 0.7505], [0.3971, 0.0853, 0.2505], [0.4319, 0.5681, 0.2500], [0.5681, 0.4319, 0.7500], [0.6029, 0.9147, 0.7495], [0.9147, 0.6029, 0.2495], [0.0000, 0.5000, 0.5000], [0.1606, 0.6782, 0.0000], [0.3218, 0.8394, 0.5000], [0.5000, 0.0000, 0.0000], [0.6782, 0.1606, 0.5000], [0.8394, 0.3218, 0.0000]],
  "e_tot_ev_per_atom": -8.578
}


{
  "formula": "Lu4AlTlN2",
  "functional": "GGA-PBE",
  "state": "optimized geometry",
  "lattice": [[3.4103, 0.0000, 0.0000], [-1.7052, 2.9534, 0.0000], [0.0000, 0.0000, 15.1107]],
  "species": ["Lu", "Lu", "Lu", "Lu", "Al", "Tl", "N", "N"],
  "frac_coords": [[0.0000, 0.0000, 0.1589], [0.0000, 0.0000, 0.8411], [0.6667, 0.3333, 0.3307], [0.6667, 0.3333, 0.6693], [0.6667, 0.3333, 0.0000], [0.0000, 0.0000, 0.5000], [0.3333, 0.6667, 0.2479], [0.3333, 0.6667, 0.7521]],
  "e_tot_ev_per_atom": -6.133
}


{
  "formula": "Y2Lu4Al3N3",
  "functional": "GGA-PBE",
  "state": "optimized geometry",
  "lattice": [[5.0829, -2.9334, 0.0000], [5.0829, 2.9334, 0.0000], [-3.4668, 0.0000, 14.9703]],
  "species": ["Y", "Y", "Y", "Y", "Lu", "Lu", "Lu", "Lu", "Lu", "Lu", "Lu", "Lu", "Al", "Al", "Al", "Al", "Al", "Al", "N", "N", "N", "N", "N", "N"],
  "frac_coords": [[0.0381, 0.8720, 0.6104], [0.1280, 0.9619, 0.8896], [0.8720, 0.0381, 0.1104], [0.9619, 0.1280, 0.3896], [0.1928, 0.3556, 0.0813], [0.3000, 0.4799, 0.4187], [0.3556, 0.1928, 0.5813], [0.4799, 0.3000, 0.9187], [0.5201, 0.7000, 0.0813], [0.6444, 0.8072, 0.4187], [0.7000, 0.5201, 0.5813], [0.8072, 0.6444, 0.9187], [0.0852, 0.3902, 0.7501], [0.3902, 0.0852, 0.2501], [0.4391, 0.5609, 0.2500], [0.5609, 0.4391, 0.7500], [0.6098, 0.9148, 0.7499], [0.9148, 0.6098, 0.2499], [0.0000, 0.5000, 0.5000], [0.1673, 0.6653, 0.9999], [0.3347, 0.8327, 0.5001], [0.5000, 0.0000, 0.0000], [0.6653, 0.1673, 0.4999], [0.8327, 0.3347, 0.0001]],
  "e_tot_ev_per_atom": -6.638
}


{
  "formula": "Lu4Zr2Al3N3",
  "functional": "GGA-PBE",
  "state": "optimized geometry",
  "lattice": [[5.0246, -2.9039, 0.0000], [5.0246, 2.9039, 0.0000], [-3.3618, 0.0000, 14.6406]],
  "species": ["Lu", "Lu", "Lu", "Lu", "Lu", "Lu", "Lu", "Lu", "Zr", "Zr", "Zr", "Zr", "Al", "Al", "Al", "Al", "Al", "Al", "N", "N", "N", "N", "N", "N"],
  "frac_coords": [[0.0325, 0.1947, 0.0912], [0.1335, 0.3035, 0.4088], [0.1947, 0.0325, 0.5912], [0.3035, 0.1335, 0.9088], [0.6965, 0.8665, 0.0912], [0.8053, 0.9675, 0.4088], [0.8665, 0.6965, 0.5912], [0.9675, 0.8053, 0.9088], [0.3585, 0.5271, 0.0808], [0.4729, 0.6415, 0.4192], [0.5271, 0.3585, 0.5808], [0.6415, 0.4729, 0.9192], [0.1310, 0.8690, 0.2500], [0.2971, 0.4168, 0.7503], [0.4168, 0.2971, 0.2503], [0.5832, 0.7029, 0.7497], [0.7029, 0.5832, 0.2497], [0.8690, 0.1310, 0.7500], [0.0000, 0.5000, 0.0000], [0.1654, 0.6673, 0.5000], [0.3327, 0.8346, 0.0000], [0.5000, 0.0000, 0.5000], [0.6673, 0.1654, 0.0000], [0.8346, 0.3327, 0.5000]],
  "e_tot_ev_per_atom": -6.995
}